First-principles (PBE-GGA) data for crystalline Sr2NbIrN4O2 at its relaxed geometry, as listed in the Open Quantum Materials Database.

```
20
Lattice="5.645 0.000 0.000 -0.004 5.675 0.000 -0.014 -0.012 8.035" Properties=species:S:1:pos:R:3 pbc="T T T"
N 4.298 4.255 0.115
Nb 2.821 2.795 0.070
N 2.822 2.685 2.070
N 1.344 1.382 7.936
N 1.506 4.316 3.906
Nb 0.013 5.588 4.028
Sr 2.803 0.032 6.006
O 1.288 1.572 4.149
Ir 2.824 2.966 3.944
Sr 2.879 0.030 2.000
N 4.293 4.144 3.922
Ir -0.014 5.613 7.917
N 1.401 4.309 0.132
O 2.809 3.039 5.998
N 0.000 5.509 6.027
O 5.619 0.227 2.012
Sr 0.025 2.744 2.009
Sr 5.600 2.761 6.009
O 4.077 1.335 4.171
N 4.221 1.331 7.928
```

## Properties
The uncorrected energy is -149.36 eV for the cell shown. The symmetry is P1 (1).

First-principles (PBE-GGA) data for crystalline Sr2NbIrN4O2 at its relaxed geometry, as listed in the Open Quantum Materials Database.

```
20
Lattice="-0.340 4.494 -3.480 -5.456 0.692 1.503 2.242 4.758 5.943" Properties=species:S:1:pos:R:3 pbc="T T T"
O -4.275 1.846 0.357
Nb 1.110 2.397 2.962
O -3.153 4.023 3.031
Ir 1.740 9.214 2.543
Sr -3.889 6.475 4.270
Sr -1.441 8.368 1.720
N -0.359 3.621 2.584
N 0.080 5.609 -1.932
Nb -0.691 7.401 4.923
Sr -2.286 1.593 2.210
O -3.033 6.344 1.272
Ir -1.651 4.922 1.978
N -2.185 3.881 0.482
N -4.364 3.989 -1.522
O -0.196 5.825 0.946
N 0.606 8.202 3.639
N 0.700 5.961 5.488
N -3.649 4.319 5.931
Sr -5.010 4.145 1.258
N -1.351 6.064 3.458
```

## Properties
The uncorrected energy is -148.99 eV for the cell shown. The symmetry is P1 (1).

Look up the uncorrected energy of the second one.
-148.99 eV for the cell shown

What is the uncorrected energy in the second record?
-148.99 eV for the cell shown

What is the formula in the second record?
Sr2NbIrN4O2